(1)
Be2GeRu2 | the Alexandria database | PBE-GGA | optimized geometry; energy relative to the lowest polymorph listed for this composition = 0.046 eV per atom; V = 12.4 A^3/atom; formation energy = -0.2377 eV/atom
1.0
6.318 0.000 0.000
0.000 6.318 0.000
0.000 0.000 3.106
Be Ru Ge
4 4 2
Cartesian
5.486 2.327 1.553 Be
2.327 0.832 1.553 Be
3.992 5.486 1.553 Be
0.832 3.992 1.553 Be
5.322 4.155 0.000 Ru
4.155 0.996 0.000 Ru
2.163 5.322 0.000 Ru
0.996 2.163 0.000 Ru
3.159 3.159 0.000 Ge
0.000 0.000 0.000 Ge

---

(2)
SmBeGe2Ru2 | the Alexandria database | PBE-GGA | optimized geometry; V = 16.6 A^3/atom; formation energy = -0.4855 eV/atom
1.0
4.269 0.000 0.000
0.000 4.269 0.000
0.000 0.000 5.464
Ru Ge Be Sm
2 2 1 1
Cartesian
2.134 0.000 0.000 Ru
0.000 2.134 0.000 Ru
2.134 2.134 1.453 Ge
2.134 2.134 4.011 Ge
0.000 0.000 0.000 Be
0.000 0.000 2.732 Sm

---

(3)
Tb2Be4Ge3Ru | the Alexandria database | PBE-GGA | optimized geometry; V = 15.1 A^3/atom; formation energy = -0.4213 eV/atom
1.0
3.872 0.000 0.000
0.000 3.872 0.000
0.000 0.000 10.053
Tb Be Ru Ge
2 4 1 3
Cartesian
0.000 1.936 7.538 Tb
1.936 0.000 2.515 Tb
1.936 1.936 0.000 Be
1.936 0.000 6.366 Be
0.000 1.936 3.687 Be
0.000 0.000 0.000 Be
1.936 1.936 5.027 Ru
0.000 0.000 5.027 Ge
0.000 1.936 1.348 Ge
1.936 0.000 8.705 Ge

---

(4)
Tm2Be4Ge3Ru | the Alexandria database | PBE-GGA | optimized geometry; V = 14.7 A^3/atom; formation energy = -0.4085 eV/atom
1.0
-3.002 2.009 1.260
-0.936 -2.872 2.348
5.717 4.024 7.202
Tm Be Ge Ru
2 4 3 1
Cartesian
-0.057 2.021 2.450 Tm
3.804 1.572 6.556 Tm
-1.969 -0.431 1.804 Be
1.616 0.031 3.799 Be
0.000 0.000 0.000 Be
2.132 3.562 5.207 Be
2.858 2.012 3.601 Ge
0.308 -0.890 2.151 Ge
3.440 4.483 6.854 Ge
0.889 1.581 5.405 Ru

---

(5)
U2Be4Ge3Ru | the Alexandria database | PBE-GGA | optimized geometry; V = 14.9 A^3/atom; formation energy = -0.1557 eV/atom
1.0
-3.312 1.833 -1.088
0.606 -1.117 -3.728
-4.990 -8.064 1.606
U Ge Be Ru
2 3 4 1
Cartesian
-3.409 -6.558 -0.669 U
-2.933 -1.148 -0.132 U
-0.362 -1.633 -1.650 Ge
-2.495 -4.032 0.803 Ge
-5.981 -6.073 0.849 Ge
0.000 0.000 0.000 Be
-4.800 -4.165 0.469 Be
-1.353 0.358 -2.408 Be
-1.542 -3.541 -1.270 Be
-3.848 -3.674 -1.604 Ru

---

(6)
Be2GeRu5W2 | the Alexandria database | PBE-GGA | optimized geometry; V = 13.0 A^3/atom; formation energy = -0.2086 eV/atom
1.0
2.988 0.000 0.000
0.000 9.327 0.000
0.000 0.000 9.327
W Ru Be Ge
4 10 4 2
Cartesian
0.000 1.631 3.032 W
0.000 7.696 6.295 W
0.000 3.032 7.696 W
0.000 6.295 1.631 W
1.494 0.603 7.385 Ru
1.494 1.942 0.603 Ru
1.494 7.385 8.724 Ru
1.494 6.605 4.061 Ru
1.494 8.724 1.942 Ru
1.494 0.000 4.663 Ru
1.494 4.061 2.721 Ru
1.494 2.721 5.266 Ru
1.494 4.663 0.000 Ru
1.494 5.266 6.605 Ru
0.000 1.162 5.826 Be
0.000 3.501 1.162 Be
0.000 8.165 3.501 Be
0.000 5.826 8.165 Be
0.000 4.663 4.663 Ge
0.000 0.000 0.000 Ge

---

(7)
Y2Be4Ge3Ru | the Alexandria database | PBE-GGA | optimized geometry; V = 15.0 A^3/atom; formation energy = -0.4206 eV/atom
1.0
-3.688 0.377 -1.091
-0.969 -2.996 2.239
-1.636 6.282 7.698
Ge Ru Y Be
3 1 2 4
Cartesian
-3.260 5.627 6.118 Ge
-0.818 3.141 3.849 Ge
-0.704 -0.654 2.154 Ge
-3.146 1.831 4.423 Ru
-1.711 3.211 6.890 Y
-2.253 1.761 1.382 Y
-1.084 0.803 3.939 Be
-2.881 4.170 4.333 Be
-2.328 -1.310 0.574 Be
0.000 0.000 0.000 Be

---

(8)
YBeGe2Ru2 | the Alexandria database | PBE-GGA | optimized geometry; V = 16.3 A^3/atom; formation energy = -0.4680 eV/atom
1.0
-0.962 4.116 -0.517
-1.778 -0.888 -3.766
-4.757 -0.806 2.436
Ru Ge Y Be
2 2 1 1
Cartesian
-0.889 -0.444 -1.883 Ru
-0.481 2.058 -0.258 Ru
-2.644 1.398 -1.489 Ge
-4.853 1.024 -0.358 Ge
-2.379 -0.403 1.218 Y
0.000 0.000 0.000 Be

---

(9)
Zr2Be2GeRu5 | the Alexandria database | PBE-GGA | optimized geometry; V = 14.1 A^3/atom; formation energy = -0.4811 eV/atom
1.0
3.186 0.000 0.000
0.000 9.415 0.000
0.000 0.000 9.415
Ru Zr Ge Be
10 4 2 4
Cartesian
1.593 0.000 4.707 Ru
1.593 1.955 0.651 Ru
1.593 8.764 1.955 Ru
1.593 5.359 6.663 Ru
1.593 7.460 8.764 Ru
1.593 0.651 7.460 Ru
1.593 4.707 0.000 Ru
1.593 6.663 4.056 Ru
1.593 2.752 5.359 Ru
1.593 4.056 2.752 Ru
0.000 7.774 6.349 Zr
0.000 6.349 1.641 Zr
0.000 1.641 3.066 Zr
0.000 3.066 7.774 Zr
0.000 0.000 0.000 Ge
0.000 4.707 4.707 Ge
0.000 5.876 8.246 Be
0.000 1.168 5.876 Be
0.000 8.246 3.539 Be
0.000 3.539 1.168 Be

---

(10)
BeGeS | the Alexandria database | PBE-GGA | optimized geometry; energy relative to the lowest polymorph listed for this composition = 0.171 eV per atom; V = 18.4 A^3/atom; formation energy (no corrections) = -0.28 eV per atom
1.0
-0.998 4.009 -1.420
-1.253 0.781 3.085
14.252 0.949 5.549
Be Ge S
4 4 4
Cartesian
0.057 1.742 1.478 Be
1.430 4.026 -0.438 Be
7.929 4.890 3.879 Be
7.809 1.825 2.710 Be
12.028 2.691 4.205 Ge
4.949 4.375 0.903 Ge
11.448 5.240 5.220 Ge
4.275 2.607 2.973 Ge
2.020 1.423 2.357 S
6.841 3.231 3.857 S
9.773 1.506 3.588 S
0.342 2.366 -0.460 S

---

(11)
BeGeS | the Alexandria database | PBE-GGA | optimized geometry; energy relative to the lowest polymorph listed for this composition = 0.173 eV per atom; V = 17.8 A^3/atom; formation energy (no corrections) = -0.27 eV per atom
1.0
3.296 0.000 0.000
0.000 11.157 0.000
-3.106 0.000 5.817
Ge Be S
4 4 4
Cartesian
0.161 0.000 2.328 Ge
-0.313 0.000 5.679 Ge
1.240 5.579 2.770 Ge
-1.392 5.579 5.236 Ge
-0.247 8.873 5.145 Be
1.306 7.863 2.237 Be
1.306 3.295 2.237 Be
-0.247 2.284 5.145 Be
-0.325 8.756 3.065 S
1.228 3.178 0.156 S
-0.325 2.401 3.065 S
1.228 7.980 0.156 S

---

(12)
BeGeS | the Alexandria database | PBE-GGA | optimized geometry; energy relative to the lowest polymorph listed for this composition = 0.175 eV per atom; V = 17.5 A^3/atom; formation energy (no corrections) = -0.27 eV per atom
1.0
3.299 0.000 0.015
0.000 5.744 0.000
-0.044 0.000 11.071
Be S Ge
4 4 4
Cartesian
0.672 5.090 8.847 Be
2.583 5.090 2.239 Be
2.562 2.218 7.774 Be
0.694 2.218 3.312 Be
0.907 3.024 8.691 S
2.349 3.024 2.395 S
0.928 0.152 3.156 S
2.327 0.152 7.930 S
1.628 5.011 5.543 Ge
0.000 0.009 0.000 Ge
-0.022 2.881 5.535 Ge
1.650 2.139 0.008 Ge

---

(13)
BeGeS | the Alexandria database | PBE-GGA | optimized geometry; energy relative to the lowest polymorph listed for this composition = 0.016 eV per atom; V = 21.1 A^3/atom; formation energy (no corrections) = -0.43 eV per atom
1.0
3.343 0.000 0.000
1.672 2.897 0.000
1.631 -0.702 13.059
Ge S Be
2 2 2
Cartesian
2.688 2.265 4.446 Ge
4.360 1.295 6.586 Ge
4.295 -0.515 10.646 S
0.993 1.153 0.454 S
4.295 -0.515 12.846 Be
2.624 0.451 11.313 Be

---

(14)
BeGeS | the Alexandria database | PBE-GGA | optimized geometry; energy relative to the lowest polymorph listed for this composition = 0.141 eV per atom; V = 18.9 A^3/atom; formation energy (no corrections) = -0.31 eV per atom
1.0
-1.920 4.538 -3.140
-2.466 -2.032 -1.429
-2.750 -0.375 5.282
Be S Ge
2 2 2
Cartesian
-1.813 3.078 -1.248 Be
-3.823 0.969 0.932 Be
-3.377 1.768 -0.972 S
-3.327 2.330 2.430 S
-2.756 -0.197 5.039 Ge
-2.253 -0.731 0.642 Ge

---

(15)
BeGeS | the Alexandria database | PBE-GGA | optimized geometry; energy relative to the lowest polymorph listed for this composition = 0.177 eV per atom; V = 18.1 A^3/atom; formation energy (no corrections) = -0.27 eV per atom
1.0
5.689 0.000 0.043
0.000 3.319 0.000
0.008 0.000 5.756
Be S Ge
2 2 2
Cartesian
3.608 1.659 1.161 Be
3.612 0.000 4.039 Be
4.327 1.659 4.998 S
4.323 0.000 2.120 S
1.688 1.659 4.990 Ge
1.684 0.000 2.112 Ge

---

(16)
Be2Ge2S | the Alexandria database | PBE-GGA | optimized geometry; energy relative to the lowest polymorph listed for this composition = 0.000 eV per atom; V = 14.9 A^3/atom; formation energy (no corrections) = 0.50 eV per atom
1.0
-2.648 -0.187 -7.269
-4.982 -5.588 1.958
-1.704 1.721 0.576
S Be Ge
2 4 4
Cartesian
-3.815 -2.888 -2.655 S
0.000 0.000 0.000 S
-4.467 -2.785 0.484 Be
-2.520 -0.029 -1.986 Be
-6.813 -4.025 -2.748 Be
-4.866 -1.269 -5.219 Be
-2.479 -0.968 -4.439 Ge
-2.137 -1.976 -0.418 Ge
-5.492 -3.799 -4.892 Ge
-5.150 -4.807 -0.872 Ge

---

(17)
BeGeS | the Alexandria database | PBE-GGA | optimized geometry; energy relative to the lowest polymorph listed for this composition = 0.062 eV per atom; V = 22.6 A^3/atom; formation energy (no corrections) = -0.38 eV per atom
1.0
3.473 0.000 -0.025
0.000 3.538 0.001
-1.713 -1.346 11.034
S Ge Be
2 2 2
Cartesian
-1.280 1.941 8.981 S
2.186 1.518 0.357 S
-0.028 1.527 4.280 Ge
1.714 -0.242 5.066 Ge
-1.271 0.172 10.184 Be
0.466 1.943 10.189 Be

---

(18)
BeGeS | the Alexandria database | PBE-GGA | optimized geometry; energy relative to the lowest polymorph listed for this composition = 0.106 eV per atom; V = 18.7 A^3/atom; formation energy (no corrections) = -0.34 eV per atom
1.0
-2.174 -2.755 1.047
1.116 -2.698 -4.748
4.727 -3.552 0.479
Ge S Be
2 2 2
Cartesian
0.933 -6.393 -3.302 Ge
0.763 -4.090 -3.999 Ge
0.163 -4.756 -0.683 S
3.618 -5.191 -1.038 S
1.710 -6.159 -1.143 Be
0.405 -3.008 -1.990 Be

---

(19)
Be2GeS4 | the Alexandria database | PBE-GGA | optimized geometry; V = 22.9 A^3/atom; formation energy (no corrections) = -0.55 eV per atom
1.0
-5.188 1.016 -0.143
0.038 -0.546 -5.260
1.462 -5.841 3.275
S Ge Be
4 1 2
Cartesian
0.421 -4.863 -0.824 S
-1.510 -1.017 -1.232 S
-4.090 -0.782 -3.938 S
-2.197 -4.080 1.740 S
0.000 0.000 0.000 Ge
0.019 -0.273 -2.630 Be
-2.594 0.508 -0.071 Be

---

(20)
BeGeS | the Alexandria database | PBE-GGA | optimized geometry; energy relative to the lowest polymorph listed for this composition = 0.124 eV per atom; V = 18.2 A^3/atom; formation energy (no corrections) = -0.32 eV per atom
1.0
-1.977 1.253 4.778
-9.268 -8.647 -1.567
3.201 -3.091 -1.878
Be Ge S
4 4 4
Cartesian
-2.818 -1.090 3.586 Be
-6.096 -8.736 -0.734 Be
-3.063 -2.867 0.988 Be
-5.851 -6.959 1.863 Be
-3.579 -6.493 -1.397 Ge
-8.071 -9.136 0.400 Ge
-5.038 -3.267 2.122 Ge
-0.545 -0.624 0.325 Ge
0.526 -3.905 -0.409 S
-1.740 -4.470 1.764 S
-5.709 -6.683 -0.253 S
-7.975 -7.248 1.920 S